No. 1
# NaY3Ge

NaY3Ge at its PBEsol-relaxed geometry (SCAN, Alexandria).

Calculated values
calculated density	3.60	g cm⁻³
E_tot	-107.3	eV for the cell shown
formation energy from the elements	-0.092	eV per atom

Cell and atoms, written as POSCAR:
```
NaY3Ge
1.0
-1.240 2.321 4.840
4.512 -2.240 2.230
2.908 4.466 -1.397
Y Na Ge
3 1 1
direct
0.000 0.500 0.000
0.000 0.000 0.500
0.500 0.000 0.000
0.500 0.500 0.500
0.000 0.000 0.000
```

***

No. 2
# Na2ZnGe

Na2ZnGe at its PBEsol-relaxed geometry (SCAN, Alexandria).

Calculated values
calculated density	3.42	g cm⁻³
E_tot	-83.5	eV for the cell shown
formation energy from the elements	-0.183	eV per atom

Cell and atoms, written as POSCAR:
```
Na2ZnGe
1.0
-0.469 4.800 -2.403
-5.395 0.542 2.135
0.955 2.648 5.103
Na Zn Ge
4 2 2
direct
0.750 0.967 0.681
0.250 0.033 0.319
0.250 0.681 0.967
0.750 0.319 0.033
0.000 0.500 0.500
0.500 0.500 0.500
0.750 0.773 0.227
0.250 0.227 0.773
```

***

No. 3
# NaZrGe2

NaZrGe2 at its PBEsol-relaxed geometry (SCAN, Alexandria).

Calculated values
calculated density	5.65	g cm⁻³
E_tot	-73.4	eV for the cell shown
formation energy from the elements	-0.082	eV per atom

Cell and atoms, written as POSCAR:
```
NaZrGe2
1.0
-2.737 0.383 -3.876
0.121 -3.387 -3.343
-3.726 -2.906 -0.580
Na Ge Zr
1 2 1
direct
0.000 0.000 0.000
0.250 0.250 0.250
0.750 0.750 0.750
0.500 0.500 0.500
```

***

No. 4
# Nb10Ge7

Nb10Ge7 at its PBEsol-relaxed geometry (SCAN, Alexandria).

Calculated values
calculated density	8.51	g cm⁻³
E_tot	-1423.4	eV for the cell shown
formation energy from the elements	-0.563	eV per atom

Cell and atoms, written as POSCAR:
```
Nb10Ge7
1.0
-1.684 4.587 2.229
-4.806 -6.875 10.516
12.652 4.566 0.163
Nb Ge
30 21
direct
0.271 0.175 0.088
0.271 0.912 0.088
0.271 0.912 0.825
0.729 0.825 0.912
0.729 0.088 0.912
0.729 0.088 0.175
0.230 0.841 0.421
0.230 0.579 0.421
0.230 0.579 0.159
0.770 0.159 0.579
0.770 0.421 0.579
0.770 0.421 0.841
0.227 0.509 0.754
0.227 0.246 0.754
0.227 0.246 0.491
0.773 0.491 0.246
0.773 0.754 0.246
0.773 0.754 0.509
0.500 0.664 0.664
0.500 0.336 0.000
0.500 0.000 0.336
0.500 0.664 0.000
0.500 0.000 0.664
0.500 0.336 0.336
0.000 0.669 0.669
0.000 0.331 0.000
0.000 0.000 0.331
0.000 0.669 0.000
0.000 0.000 0.669
0.000 0.331 0.331
0.259 0.406 0.203
0.259 0.797 0.203
0.259 0.797 0.594
0.741 0.594 0.797
0.741 0.203 0.797
0.741 0.203 0.406
0.247 0.073 0.536
0.247 0.464 0.536
0.247 0.464 0.927
0.753 0.927 0.464
0.753 0.536 0.464
0.753 0.536 0.073
0.248 0.740 0.870
0.248 0.130 0.870
0.248 0.130 0.260
0.752 0.260 0.130
0.752 0.870 0.130
0.752 0.870 0.740
0.496 0.333 0.667
0.504 0.667 0.333
0.000 0.000 0.000
```

***

The lowest formation energy from the elements belongs to which entry?
Nb10Ge7

***

Which value of formation energy from the elements does entry 3 give?
-0.082 eV per atom

***

What did the second record say?
# Na2ZnGe

Na2ZnGe at its PBEsol-relaxed geometry (SCAN, Alexandria).

Calculated values
calculated density	3.42	g cm⁻³
E_tot	-83.5	eV for the cell shown
formation energy from the elements	-0.183	eV per atom

Cell and atoms, written as POSCAR:
```
Na2ZnGe
1.0
-0.469 4.800 -2.403
-5.395 0.542 2.135
0.955 2.648 5.103
Na Zn Ge
4 2 2
direct
0.750 0.967 0.681
0.250 0.033 0.319
0.250 0.681 0.967
0.750 0.319 0.033
0.000 0.500 0.500
0.500 0.500 0.500
0.750 0.773 0.227
0.250 0.227 0.773
```